# 1
Here is LaPmTlBr after structural relaxation from the Alexandria database. Energies are from PBE.

Structure (CIF):
```
data_LaPmTlBr
_space_group_name_H-M_alt 'P 1'
_space_group_IT_number 1
_cell_length_a 5.511
_cell_length_b 5.511
_cell_length_c 5.511
_cell_angle_alpha 60.00
_cell_angle_beta 60.00
_cell_angle_gamma 60.00
loop_
_space_group_symop_operation_xyz
'x,y,z'
loop_
_atom_site_label
_atom_site_type_symbol
_atom_site_fract_x
_atom_site_fract_y
_atom_site_fract_z
La1 La 0.000 0.000 0.000
Pm1 Pm 0.500 0.500 0.500
Tl1 Tl 0.750 0.750 0.750
Br1 Br 0.250 0.250 0.250
```

Summary:
total energy	-4.09	eV per atom
formation energy without anion corrections	-0.66	eV per atom
calculated density	8.0	g/cm³


# 2
Here is LaPr2Br6 after structural relaxation from the Alexandria database. Energies are from PBE.

Structure (CIF):
```
data_LaPr2Br6
_space_group_name_H-M_alt 'P 1'
_space_group_IT_number 1
_cell_length_a 7.627
_cell_length_b 7.627
_cell_length_c 11.400
_cell_angle_alpha 90.00
_cell_angle_beta 90.00
_cell_angle_gamma 90.00
loop_
_space_group_symop_operation_xyz
'x,y,z'
loop_
_atom_site_label
_atom_site_type_symbol
_atom_site_fract_x
_atom_site_fract_y
_atom_site_fract_z
La1 La 0.000 0.000 0.000
La2 La 0.500 0.500 0.500
Pr1 Pr 0.000 0.000 0.341
Pr2 Pr 0.000 0.000 0.659
Pr3 Pr 0.500 0.500 0.159
Pr4 Pr 0.500 0.500 0.841
Br1 Br 0.218 0.218 0.169
Br2 Br 0.218 0.218 0.831
Br3 Br 0.222 0.222 0.500
Br4 Br 0.278 0.722 0.000
Br5 Br 0.282 0.718 0.331
Br6 Br 0.282 0.718 0.669
Br7 Br 0.718 0.282 0.331
Br8 Br 0.718 0.282 0.669
Br9 Br 0.722 0.278 0.000
Br10 Br 0.778 0.778 0.500
Br11 Br 0.782 0.782 0.169
Br12 Br 0.782 0.782 0.831
```

Summary:
total energy	-4.36	eV per atom
formation energy without anion corrections	-1.64	eV per atom
calculated density	4.5	g/cm³


# 3
Here is La2PrBr after structural relaxation from the Alexandria database. Energies are from PBE.

Structure (CIF):
```
data_La2PrBr
_space_group_name_H-M_alt 'P 1'
_space_group_IT_number 1
_cell_length_a 10.965
_cell_length_b 10.965
_cell_length_c 10.965
_cell_angle_alpha 20.05
_cell_angle_beta 20.05
_cell_angle_gamma 20.05
loop_
_space_group_symop_operation_xyz
'x,y,z'
loop_
_atom_site_label
_atom_site_type_symbol
_atom_site_fract_x
_atom_site_fract_y
_atom_site_fract_z
La1 La 0.242 0.242 0.242
La2 La 0.758 0.758 0.758
Pr1 Pr 0.000 0.000 0.000
Br1 Br 0.500 0.500 0.500
```

Summary:
total energy	-4.68	eV per atom
E above lowest polymorph	0	meV per atom
formation energy without anion corrections	-0.60	eV per atom
calculated density	6.1	g/cm³


# 4
Here is La3PrBr after structural relaxation from the Alexandria database. Energies are from PBE.

Structure (CIF):
```
data_La3PrBr
_space_group_name_H-M_alt 'P 1'
_space_group_IT_number 1
_cell_length_a 5.759
_cell_length_b 5.759
_cell_length_c 5.759
_cell_angle_alpha 90.00
_cell_angle_beta 90.00
_cell_angle_gamma 90.00
loop_
_space_group_symop_operation_xyz
'x,y,z'
loop_
_atom_site_label
_atom_site_type_symbol
_atom_site_fract_x
_atom_site_fract_y
_atom_site_fract_z
La1 La 0.000 0.000 0.500
La2 La 0.000 0.500 0.000
La3 La 0.500 0.000 0.000
Pr1 Pr 0.500 0.500 0.500
Br1 Br 0.000 0.000 0.000
```

Summary:
total energy	-4.60	eV per atom
formation energy without anion corrections	-0.35	eV per atom
calculated density	5.5	g/cm³